Record 1
# LiCr2P (PBE, optimized geometry)
# N(E_F): 1.91 states/eV/f.u.
# ΔE_f: -0.031 eV/atom
# Magnetic moment: 0.00 μB per cell
# VASP energy: -6.674 eV per atom
data_LiCr2P
_chemical_formula_sum 'Li1 Cr2 P1'
_space_group_name_H-M_alt 'P 4 m m'
_space_group_IT_number 99
_cell_length_a 2.9879
_cell_length_b 2.9879
_cell_length_c 5.1554
_cell_angle_alpha 90.00
_cell_angle_beta 90.00
_cell_angle_gamma 90.00
loop_
_space_group_symop_operation_xyz
'x,y,z'
'-y,x,z'
'-x,-y,z'
'y,-x,z'
'-x,y,z'
'y,x,z'
'x,-y,z'
'-y,-x,z'
loop_
_atom_site_label
_atom_site_type_symbol
_atom_site_fract_x
_atom_site_fract_y
_atom_site_fract_z
Li1 Li 0.0000 0.0000 0.0000
Cr1 Cr 0.0000 0.0000 0.4915
Cr2 Cr 0.5000 0.5000 0.7238
P1 P 0.5000 0.5000 0.2403

Record 2
# Ac4CdGe (PBE, optimized geometry)
# N(E_F): 8.54 states/eV/f.u.
# ΔE_f: -0.179 eV/atom
# Magnetic moment: 0.00 μB per cell
# VASP energy: -3.840 eV per atom
data_Ac4CdGe
_chemical_formula_sum 'Ac4 Cd1 Ge1'
_space_group_name_H-M_alt 'P 4/m m m'
_space_group_IT_number 123
_space_group_name_Hall '-P 4 2'
_cell_length_a 5.4829
_cell_length_b 5.4829
_cell_length_c 7.7914
_cell_angle_alpha 90.00
_cell_angle_beta 90.00
_cell_angle_gamma 90.00
loop_
_atom_site_label
_atom_site_type_symbol
_atom_site_fract_x
_atom_site_fract_y
_atom_site_fract_z
Ac1 Ac 0.0000 0.5000 0.2382
Cd1 Cd 0.0000 0.0000 0.5000
Ge1 Ge 0.5000 0.5000 0.0000

Record 3
# Nd4Dy3In2 (PBE, optimized geometry)
# N(E_F): 9.52 states/eV/f.u.
# ΔE_f: -0.184 eV/atom
# Magnetic moment: 0.00 μB per cell
# VASP energy: -4.445 eV per atom
data_Nd4Dy3In2
_chemical_formula_sum 'Nd4 Dy3 In2'
_space_group_name_H-M_alt 'P -1'
_space_group_IT_number 2
_cell_length_a 5.4090
_cell_length_b 6.8197
_cell_length_c 8.6358
_cell_angle_alpha 103.47
_cell_angle_beta 90.06
_cell_angle_gamma 113.35
loop_
_space_group_symop_operation_xyz
'x,y,z'
'-x,-y,-z'
loop_
_atom_site_label
_atom_site_type_symbol
_atom_site_fract_x
_atom_site_fract_y
_atom_site_fract_z
Nd1 Nd 0.1161 0.2323 0.1568
Nd2 Nd 0.3311 0.6622 0.5358
Dy1 Dy 0.0000 0.0000 0.5000
Dy2 Dy 0.4199 0.8389 0.1461
In1 In 0.2060 0.4130 0.8172

Record 4
# Ce3SiO6 (PBE, optimized geometry)
# N(E_F): 15.87 states/eV/f.u.
# Formation energy from raw total energies: -3.084 eV per atom
# Magnetic moment: 16.05 μB per cell
# VASP energy: -8.381 eV per atom
data_Ce3SiO6
_chemical_formula_sum 'Ce12 Si4 O24'
_space_group_name_H-M_alt 'C m c 21'
_space_group_IT_number 36
_cell_length_a 9.2311
_cell_length_b 11.4990
_cell_length_c 5.6734
_cell_angle_alpha 90.00
_cell_angle_beta 90.00
_cell_angle_gamma 90.00
loop_
_space_group_symop_operation_xyz
'x,y,z'
'-x,-y,z+1/2'
'-x,y,z'
'x,-y,z+1/2'
'x+1/2,y+1/2,z'
'-x+1/2,-y+1/2,z+1/2'
'-x+1/2,y+1/2,z'
'x+1/2,-y+1/2,z+1/2'
loop_
_atom_site_label
_atom_site_type_symbol
_atom_site_fract_x
_atom_site_fract_y
_atom_site_fract_z
Ce1 Ce 0.0000 0.1058 0.0000
Ce2 Ce 0.1906 0.3960 0.9656
Si1 Si 0.0000 0.3083 0.4203
O1 O 0.0000 0.2911 0.7077
O2 O 0.0000 0.4458 0.3266
O3 O 0.1433 0.2457 0.2944
O4 O 0.1576 0.0129 0.7312

Record 5
# VIn2Cu (PBE, optimized geometry)
# N(E_F): 2.64 states/eV/f.u.
# ΔE_f: 0.269 eV/atom
# Magnetic moment: 10.96 μB per cell
# VASP energy: -4.404 eV per atom
data_VIn2Cu
_chemical_formula_sum 'V4 In8 Cu4'
_space_group_name_H-M_alt 'F m -3 m'
_space_group_IT_number 225
_space_group_name_Hall '-F 4 2 3'
_cell_length_a 6.6281
_cell_length_b 6.6281
_cell_length_c 6.6281
_cell_angle_alpha 90.00
_cell_angle_beta 90.00
_cell_angle_gamma 90.00
loop_
_atom_site_label
_atom_site_type_symbol
_atom_site_fract_x
_atom_site_fract_y
_atom_site_fract_z
V1 V 0.0000 0.0000 0.0000
In1 In 0.2500 0.2500 0.2500
Cu1 Cu 0.0000 0.0000 0.5000

Record 6
# TiGa (PBE, optimized geometry)
# N(E_F): 2.04 states/eV/f.u.
# ΔE_f: -0.118 eV/atom
# Magnetic moment: 2.03 μB per cell
# VASP energy: -5.579 eV per atom
data_TiGa
_chemical_formula_sum 'Ti6 Ga6'
_space_group_name_H-M_alt 'P 63/m'
_space_group_IT_number 176
_space_group_name_Hall '-P 6c'
_cell_length_a 7.2638
_cell_length_b 7.2638
_cell_length_c 4.7811
_cell_angle_alpha 90.00
_cell_angle_beta 90.00
_cell_angle_gamma 120.00
loop_
_atom_site_label
_atom_site_type_symbol
_atom_site_fract_x
_atom_site_fract_y
_atom_site_fract_z
Ti1 Ti 0.0488 0.8086 0.2500
Ga1 Ga 0.0988 0.6181 0.7500

Record 7
# ZnIrOs2 (PBE, optimized geometry)
# N(E_F): 2.86 states/eV/f.u.
# ΔE_f: 0.144 eV/atom
# Magnetic moment: 0.00 μB per cell
# VASP energy: -8.005 eV per atom
data_ZnIrOs2
_chemical_formula_sum 'Zn2 Ir2 Os4'
_space_group_name_H-M_alt 'C 1 m 1'
_space_group_IT_number 8
_cell_length_a 9.0342
_cell_length_b 2.7333
_cell_length_c 4.7270
_cell_angle_alpha 90.00
_cell_angle_beta 99.53
_cell_angle_gamma 90.00
loop_
_space_group_symop_operation_xyz
'x,y,z'
'x,-y,z'
'x+1/2,y+1/2,z'
'x+1/2,-y+1/2,z'
loop_
_atom_site_label
_atom_site_type_symbol
_atom_site_fract_x
_atom_site_fract_y
_atom_site_fract_z
Zn1 Zn 0.0000 0.0000 0.0000
Ir1 Ir 0.2469 0.0000 0.7943
Os1 Os 0.0070 0.5000 0.4908
Os2 Os 0.2607 0.5000 0.2944

Record 8
# LaZrO2F (PBE, optimized geometry)
# N(E_F): 4.70 states/eV/f.u.
# Formation energy from raw total energies: -2.676 eV per atom
# Magnetic moment: 0.55 μB per cell
# VASP energy: -7.728 eV per atom
data_LaZrO2F
_chemical_formula_sum 'La1 Zr1 O2 F1'
_space_group_name_H-M_alt 'P 4/m m m'
_space_group_IT_number 123
_space_group_name_Hall '-P 4 2'
_cell_length_a 4.2456
_cell_length_b 4.2456
_cell_length_c 4.2611
_cell_angle_alpha 90.00
_cell_angle_beta 90.00
_cell_angle_gamma 90.00
loop_
_atom_site_label
_atom_site_type_symbol
_atom_site_fract_x
_atom_site_fract_y
_atom_site_fract_z
La1 La 0.0000 0.0000 0.0000
Zr1 Zr 0.5000 0.5000 0.5000
O1 O 0.0000 0.5000 0.5000
F1 F 0.5000 0.5000 0.0000